TaNbCuAs2 (PBE, optimized geometry); energy relative to the lowest polymorph listed for this composition = 16.4 kJ per mole of atoms; space-group type = P4/mmm; total energy = -0.4394 Ry per atom
1.0
4.911 0.000 0.000
0.000 4.911 0.000
0.000 0.000 4.994
Ta Nb Cu As
1 1 1 2
Direct
0.000 0.000 0.000
0.000 0.000 0.500
0.500 0.500 0.500
0.000 0.500 0.000
0.500 0.000 0.000